(1)
DFT (GGA-PBEsol) results for HfCrSe2 after structural relaxation.

Calculated values
- M_tot (μB/f.u.) = 4.079
- formation energy from raw total energies (eV per atom) = -0.286
- electronic total energy (eV per cell) = -59.2
- energy above the lowest structure with this stoichiometry (meV/atom) = 182.4

```
8
Lattice="5.8230 0.0000 0.0000 0.0000 5.8230 0.0000 -2.9115 -2.9115 5.7392" Properties=species:S:1:pos:R:3 pbc="T T T"
Hf 0.0000 2.9115 2.8696
Hf 0.0000 0.0000 0.0000
Se 1.5302 4.3673 1.4348
Se 4.2929 1.4558 1.4348
Se 1.4558 1.3813 4.3044
Se -1.4558 -1.3813 4.3044
Cr 2.9115 0.0000 2.8696
Cr 2.9115 2.9115 0.0000
```

(2)
DFT (GGA-PBEsol) results for ZnP2Os after structural relaxation.

Calculated values
- M_tot (μB/f.u.) = 0.000
- electronic total energy (eV per cell) = -23.1
- E_form (eV per formula unit) = 2.3

```
4
Lattice="-2.1699 -3.1990 1.7328 0.3542 -3.9086 -1.5943 2.0373 -3.0025 2.1860" Properties=species:S:1:pos:R:3 pbc="T T T"
Os 0.1108 -5.0550 1.1622
P 0.1663 -7.5826 1.7434
P 0.0000 0.0000 0.0000
Zn 0.0554 -2.5275 0.5811
```

(3)
DFT (GGA-PBEsol) results for Li2TlRh after structural relaxation.

Calculated values
- M_tot (μB/f.u.) = 0.000
- electronic total energy (eV per cell) = -15.4
- E_form (eV per formula unit) = -0.7

```
4
Lattice="3.1674 0.0000 0.0000 0.0000 4.4490 0.0000 -1.5837 -2.2245 4.4860" Properties=species:S:1:pos:R:3 pbc="T T T"
Rh 1.5837 0.0000 0.0000
Li 0.0000 0.0000 2.0832
Li 1.5837 2.2245 2.4028
Tl 0.0000 2.2245 0.0000
```

(4)
DFT (GGA-PBEsol) results for KNaThF6 after structural relaxation.

Calculated values
- M_tot (μB/f.u.) = 0.000
- formation energy from raw total energies (eV per atom) = -3.612
- electronic total energy (eV per cell) = -109.4

```
18
Lattice="-2.7765 5.0380 -2.5204 -3.0490 -3.4635 4.2603 2.9109 4.4607 5.7097" Properties=species:S:1:pos:R:3 pbc="T T T"
F -3.2245 4.0095 -0.4391
F -1.5567 -0.5251 4.6668
F -0.9899 1.5144 2.7845
F 0.5814 4.5739 3.3459
F -1.0280 2.1274 -0.0886
F -1.9247 4.5207 4.6651
F -3.4915 1.7906 1.4304
F -3.4960 1.4613 4.1037
F 0.5769 4.2445 6.0192
F -1.3580 6.5602 2.7828
F -1.8867 3.9078 7.5382
F 0.3098 2.0257 7.8887
K -1.1844 2.0884 5.4792
K -1.7302 3.9468 1.9704
Th -2.6021 -0.0841 2.6985
Th -0.3125 6.1192 4.7512
Na 0.6804 1.0427 1.3346
Na 2.2305 3.4180 4.3751
```

(5)
DFT (GGA-PBEsol) results for BaCaFe2 after structural relaxation.

Calculated values
- M_tot (μB/f.u.) = 4.682
- electronic total energy (eV per cell) = -18.6
- energy above the lowest structure with this stoichiometry (meV/atom) = 0.0
- E_form (eV per formula unit) = 3.6

```
4
Lattice="-0.0089 2.6480 -2.2837 -5.1530 0.0464 0.0740 0.0863 3.3655 3.9022" Properties=species:S:1:pos:R:3 pbc="T T T"
Fe -2.5765 0.0232 0.0370
Fe 0.0432 1.6828 1.9511
Ca -2.5378 3.0300 0.8462
Ba -0.0045 1.3240 -1.1418
```

(6)
DFT (GGA-PBEsol) results for ZnInHg after structural relaxation.

Calculated values
- M_tot (μB/f.u.) = 0.000
- electronic total energy (eV per cell) = -4.9
- energy above the lowest structure with this stoichiometry (meV/atom) = 44.2
- E_form (eV per formula unit) = 0.2

```
3
Lattice="-0.5441 -1.8139 2.5660 0.3966 -2.6230 -1.7701 6.0745 2.2514 0.8976" Properties=species:S:1:pos:R:3 pbc="T T T"
Zn 4.0608 0.0223 0.8767
In 2.0441 -2.2068 0.8552
Hg 5.7490 -2.1865 1.6551
```

(7)
DFT (GGA-PBEsol) results for MnWSe after structural relaxation.

Calculated values
- M_tot (μB/f.u.) = 2.983
- formation energy from raw total energies (eV per atom) = 0.355
- electronic total energy (eV per cell) = -26.4
- energy above the lowest structure with this stoichiometry (meV/atom) = 0.0

```
3
Lattice="3.0333 0.0000 0.0000 -1.5167 2.6269 0.0000 0.0000 0.0000 5.8090" Properties=species:S:1:pos:R:3 pbc="T T T"
W 1.5167 0.8756 1.9370
Mn 0.0000 0.0000 0.0262
Se 0.0000 1.7513 3.8458
```

(8)
DFT (GGA-PBEsol) results for In3Ni after structural relaxation.

Calculated values
- M_tot (μB/f.u.) = 0.000
- electronic total energy (eV per cell) = -62.0
- E_form (eV per formula unit) = -0.4

```
16
Lattice="-0.8524 4.6702 -2.7038 -4.9853 1.8428 4.7548 5.6077 3.6161 4.4781" Properties=species:S:1:pos:R:3 pbc="T T T"
In -4.1130 3.4002 3.1975
In 1.2031 8.6761 5.1151
In -1.4331 1.4530 1.4140
In -1.9257 4.8106 4.9442
In 1.6956 5.3185 1.5849
In -0.9842 7.2657 3.3684
In 0.7542 2.8634 3.1607
In -4.2779 6.9100 3.3822
In 3.8829 6.7289 3.3316
In 4.0478 3.2191 3.1469
In -1.5346 4.6157 1.7996
In 1.3046 5.5134 4.7295
Ni -0.6036 6.9122 5.9895
Ni 0.3736 3.2168 0.5396
Ni -1.7887 2.3283 3.9649
Ni 1.5587 7.8008 2.5642
```

(9)
DFT (GGA-PBEsol) results for BaSn3Rh after structural relaxation.

Calculated values
- M_tot (μB/f.u.) = 0.001
- electronic total energy (eV per cell) = -24.5
- E_form (eV per formula unit) = -1.4

```
5
Lattice="5.1883 0.0000 0.0000 0.0000 5.1883 0.0000 0.0000 0.0000 5.1883" Properties=species:S:1:pos:R:3 pbc="T T T"
Sn 0.0000 2.5942 0.0000
Sn 2.5942 0.0000 0.0000
Sn 0.0000 0.0000 2.5942
Ba 2.5942 2.5942 2.5942
Rh 0.0000 0.0000 0.0000
```

(10)
DFT (GGA-PBEsol) results for Zn4SbIr after structural relaxation.

Calculated values
- M_tot (μB/f.u.) = 0.000
- formation energy from raw total energies (eV per atom) = 0.080
- electronic total energy (eV per cell) = -20.2

```
6
Lattice="-0.6939 -4.7689 -1.4954 3.9813 -2.9619 -0.9144 1.0829 -3.8080 3.1284" Properties=species:S:1:pos:R:3 pbc="T T T"
Zn 2.1900 -5.3130 -1.0983
Zn 0.7573 -5.7312 0.9001
Zn 3.0683 -4.8380 1.1873
Zn 2.7253 -7.1953 0.4481
Sb 0.0000 0.0000 0.0000
Ir 1.0926 -2.8847 0.1796
```

(11)
DFT (GGA-PBEsol) results for BiWO3 after structural relaxation.

Calculated values
- M_tot (μB/f.u.) = 4.127
- formation energy from raw total energies (eV per atom) = 0.624
- electronic total energy (eV per cell) = -30.7

```
5
Lattice="4.2564 0.0000 0.0000 0.0000 4.2564 0.0000 0.0000 0.0000 4.2564" Properties=species:S:1:pos:R:3 pbc="T T T"
O 0.0000 2.1282 0.0000
O 2.1282 0.0000 0.0000
O 0.0000 0.0000 2.1282
Bi 0.0000 0.0000 0.0000
W 2.1282 2.1282 2.1282
```

(12)
DFT (GGA-PBEsol) results for Zr2BeZn after structural relaxation.

Calculated values
- M_tot (μB/f.u.) = 0.000
- electronic total energy (eV per cell) = -24.4
- energy above the lowest structure with this stoichiometry (meV/atom) = 0.0
- E_form (eV per formula unit) = -0.7

```
4
Lattice="-4.4885 0.1191 -0.7618 -1.6005 -0.3984 -4.2451 -2.1972 -3.7852 -1.2593" Properties=species:S:1:pos:R:3 pbc="T T T"
Zn -4.1431 -2.0323 -3.1331
Zr -6.2146 -3.0484 -4.6997
Zr -2.0715 -1.0161 -1.5666
Be 0.0000 0.0000 0.0000
```

(13)
DFT (GGA-PBEsol) results for ReC2 after structural relaxation.

Calculated values
- M_tot (μB/f.u.) = 0.000
- electronic total energy (eV per cell) = -29.6
- energy above the lowest structure with this stoichiometry (meV/atom) = 363.8
- E_form (eV per formula unit) = 3.0

```
3
Lattice="-2.4603 -1.2744 -0.3259 0.2382 -3.1666 -1.3568 -0.8632 -2.0606 2.6332" Properties=species:S:1:pos:R:3 pbc="T T T"
Re 0.0000 0.0000 0.0000
C -2.4978 -4.4802 0.5523
C -0.5874 -2.0215 0.3982
```

(14)
DFT (GGA-PBEsol) results for KDyMo2O8 after structural relaxation.

Calculated values
- M_tot (μB/f.u.) = 0.000
- formation energy from raw total energies (eV per atom) = -2.457
- electronic total energy (eV per cell) = -202.2

```
24
Lattice="-2.2627 4.2638 1.8851 -1.4322 -1.0050 -6.5421 -6.6087 -7.6325 3.3286" Properties=species:S:1:pos:R:3 pbc="T T T"
Mo -4.1240 -0.1901 -4.2933
Mo -6.1797 -4.1837 2.9648
Mo -5.1813 1.0216 -0.8715
Mo -5.1224 -5.3954 -0.4570
K -9.0347 -4.4510 0.0940
K -1.2689 0.0772 -1.4224
O -4.5805 -2.8137 -3.4250
O -7.5508 -3.5877 2.0679
O -5.2183 -0.7754 -0.6023
O -6.5208 -5.6189 0.5272
O -2.7529 -0.7861 -3.3964
O -3.7401 1.4051 -4.7994
O -5.7108 -0.2387 -3.3350
O -7.6400 -1.8834 -0.1423
O -7.4771 -4.1334 -2.1415
O -3.7829 1.2451 -1.8557
O -5.0854 -3.5984 -0.7262
O -5.7232 -1.5601 2.0965
O -2.6636 -2.4904 -1.1862
O -2.8265 -0.2404 0.8130
O -6.5636 -5.7789 3.4710
O -4.5928 -4.1351 2.0065
Dy -6.4176 -2.1390 -2.1411
Dy -3.8861 -2.2348 0.8126
```

(15)
DFT (GGA-PBEsol) results for CrCdI3 after structural relaxation.

Calculated values
- M_tot (μB/f.u.) = 4.940
- formation energy from raw total energies (eV per atom) = 0.375
- electronic total energy (eV per cell) = -14.9

```
5
Lattice="-0.4926 -0.7020 -5.6697 -5.0884 -2.5334 0.7558 -2.5974 5.0961 -0.4053" Properties=species:S:1:pos:R:3 pbc="T T T"
Cd 0.0000 0.0000 0.0000
I -0.2463 -0.3510 -2.8349
I -1.2987 2.5480 -0.2027
I -2.5442 -1.2667 0.3779
Cr -4.0892 0.9303 -2.6596
```

(16)
DFT (GGA-PBEsol) results for SrTl2In after structural relaxation.

Calculated values
- M_tot (μB/f.u.) = 0.000
- electronic total energy (eV per cell) = -11.3
- E_form (eV per formula unit) = -1.2

```
4
Lattice="4.7238 0.0000 0.0000 0.0000 4.8751 0.0000 0.0000 0.0000 4.8751" Properties=species:S:1:pos:R:3 pbc="T T T"
Tl 0.0000 2.4375 0.0000
Tl 0.0000 0.0000 2.4375
Sr 2.3619 0.0000 0.0000
In 2.3619 2.4375 2.4375
```

(17)
DFT (GGA-PBEsol) results for Ta2BeSi after structural relaxation.

Calculated values
- M_tot (μB/f.u.) = 0.000
- formation energy from raw total energies (eV per atom) = 0.146
- electronic total energy (eV per cell) = -68.5
- energy above the lowest structure with this stoichiometry (meV/atom) = 715.6

```
8
Lattice="-1.3012 3.6125 3.8057 -4.9483 -0.0933 2.2365 0.9095 -1.1388 5.2318" Properties=species:S:1:pos:R:3 pbc="T T T"
Be -2.3447 0.2870 4.6856
Be -0.6506 1.8062 1.9029
Ta -3.3118 2.1680 3.5294
Ta -0.0853 0.7946 4.0164
Ta -1.7029 -0.6908 6.7932
Ta -5.5800 2.4889 8.2091
Si -2.9953 2.0933 6.5885
Si 0.0000 0.0000 0.0000
```

(18)
DFT (GGA-PBEsol) results for NaW9O27 after structural relaxation.

Calculated values
- M_tot (μB/f.u.) = 0.000
- formation energy from raw total energies (eV per atom) = -2.138
- electronic total energy (eV per cell) = -346.5

```
37
Lattice="-0.6590 7.9608 2.9874 -6.2111 0.9745 5.7624 2.8662 0.8929 7.9825" Properties=species:S:1:pos:R:3 pbc="T T T"
O -0.2094 7.7138 11.0629
O -3.4848 1.9533 11.0797
O 0.6248 2.1696 4.0879
O -3.4351 4.4677 4.3749
O -3.2915 4.3807 7.0686
O -0.7125 5.4475 9.6637
O -3.0106 4.1895 12.4627
O -4.7888 7.7553 9.9428
O -1.4774 3.3628 2.8840
O 1.1036 4.4268 5.4850
O -5.7341 3.2081 7.1460
O -4.6288 7.6586 12.6445
O -0.8566 5.5327 6.9746
O -4.9318 7.8392 7.2761
O 0.7848 2.0729 6.7896
O 1.7302 6.6201 9.5864
O -1.8161 1.0181 4.1801
O -1.1912 3.1924 8.2692
O -3.1474 4.2955 9.7577
O -1.6725 0.9337 6.8725
O -0.9934 5.6387 4.2696
O -2.1879 8.8101 12.5522
O -3.7945 2.1144 5.6694
O -2.5266 6.4654 13.8484
O -0.5192 7.8749 5.6527
O 0.9278 1.9890 9.4562
O -2.8128 6.6358 8.4632
W -4.2906 3.6887 11.1367
W -3.3317 8.1781 13.9231
W 0.2867 6.1395 5.5956
W -2.0020 4.9141 8.3662
W -0.6722 1.6501 2.8093
W 0.5635 5.9705 10.9580
W -0.3949 1.4799 8.1695
W -3.6091 8.3483 8.5628
W -4.5675 3.8577 5.7744
Na 0.0000 0.0000 0.0000
```

(19)
DFT (GGA-PBEsol) results for KReCl2 after structural relaxation.

Calculated values
- M_tot (μB/f.u.) = 4.261
- formation energy from raw total energies (eV per atom) = 0.402
- electronic total energy (eV per cell) = -16.9
- energy above the lowest structure with this stoichiometry (meV/atom) = 112.4

```
4
Lattice="3.1538 0.0000 0.0000 0.0000 5.1815 0.0000 0.0000 0.0000 5.1815" Properties=species:S:1:pos:R:3 pbc="T T T"
Cl 0.0000 2.5908 0.0000
Cl 0.0000 0.0000 2.5908
Re 1.5769 0.0000 0.0000
K 1.5769 2.5908 2.5908
```

(20)
DFT (GGA-PBEsol) results for Sc2Be2Cr after structural relaxation.

Calculated values
- M_tot (μB/f.u.) = 1.752
- electronic total energy (eV per cell) = -29.4
- E_form (eV per formula unit) = 2.1

```
5
Lattice="-0.3162 2.6575 -1.2749 -2.9224 -0.4496 -0.2122 0.4967 2.5083 8.5513" Properties=species:S:1:pos:R:3 pbc="T T T"
Be -0.7194 3.1349 3.2664
Be -2.0225 1.5813 3.7978
Cr 0.0000 0.0000 0.0000
Sc -0.8928 2.8725 6.2089
Sc -1.8492 1.8437 0.8553
```

(21)
DFT (GGA-PBEsol) results for Te3SeN after structural relaxation.

Calculated values
- M_tot (μB/f.u.) = 0.000
- formation energy from raw total energies (eV per atom) = 0.725
- electronic total energy (eV per cell) = -19.3

```
5
Lattice="4.7406 0.0000 0.0000 0.0000 4.7406 0.0000 0.0000 0.0000 4.7406" Properties=species:S:1:pos:R:3 pbc="T T T"
Te 0.0000 2.3703 0.0000
Te 2.3703 0.0000 0.0000
Te 0.0000 0.0000 2.3703
Se 2.3703 2.3703 2.3703
N 0.0000 0.0000 0.0000
```

(22)
DFT (GGA-PBEsol) results for ZrNbAl2Ga after structural relaxation.

Calculated values
- M_tot (μB/f.u.) = 1.830
- electronic total energy (eV per cell) = -25.1
- E_form (eV per formula unit) = 6.4

```
5
Lattice="4.8699 0.0000 0.0000 0.0000 4.9145 0.0000 0.0000 0.0000 4.9145" Properties=species:S:1:pos:R:3 pbc="T T T"
Al 0.0000 0.0000 2.4572
Al 0.0000 2.4572 0.0000
Nb 2.4350 2.4572 2.4572
Zr 0.0000 0.0000 0.0000
Ga 2.4350 0.0000 0.0000
```

(23)
DFT (GGA-PBEsol) results for CaY2TlN after structural relaxation.

Calculated values
- M_tot (μB/f.u.) = 0.000
- formation energy from raw total energies (eV per atom) = -1.014
- electronic total energy (eV per cell) = -32.0

```
5
Lattice="4.7745 0.0000 0.0000 0.0000 4.7745 0.0000 0.0000 0.0000 4.7968" Properties=species:S:1:pos:R:3 pbc="T T T"
N 0.0000 0.0000 0.0000
Tl 2.3873 2.3873 2.3984
Ca 0.0000 0.0000 2.3984
Y 0.0000 2.3873 0.0000
Y 2.3873 0.0000 0.0000
```

(24)
DFT (GGA-PBEsol) results for Ba2ScW after structural relaxation.

Calculated values
- M_tot (μB/f.u.) = 0.043
- electronic total energy (eV per cell) = -19.8
- energy above the lowest structure with this stoichiometry (meV/atom) = 297.1
- E_form (eV per formula unit) = 4.9

```
4
Lattice="-0.8358 -1.6745 2.7302 2.3229 -0.8360 2.2050 -1.2731 9.4323 7.4020" Properties=species:S:1:pos:R:3 pbc="T T T"
Ba 0.1172 5.4429 9.3939
Ba 0.0968 1.4789 2.9433
Sc 0.1070 3.4609 6.1686
W 0.0000 0.0000 0.0000
```

(25)
DFT (GGA-PBEsol) results for Cd2PAu after structural relaxation.

Calculated values
- M_tot (μB/f.u.) = 0.000
- electronic total energy (eV per cell) = -11.6
- E_form (eV per formula unit) = 0.5

```
4
Lattice="-2.1550 -2.6924 -2.5511 3.2255 0.0963 -2.8263 1.1602 -1.7925 4.5183" Properties=species:S:1:pos:R:3 pbc="T T T"
P 0.0000 0.0000 0.0000
Au 0.5352 -1.2981 -2.6887
Cd -0.2298 -2.8915 -0.3607
Cd 2.4605 -1.4972 -0.4984
```